Entry 1:
The following is a DFT calculation (PBE-GGA) of a relaxed structure of RbU3P4N12.

Calculated density = 5.80 g cm⁻³
Total DFT energy (no corrections) = -8.42 eV per atom

Unit cell a=6.982 b=6.982 c=6.982 alpha=102.36 beta=102.36 gamma=102.36
Sites, in units of the cell vectors:
1 Rb 0.000 0.000 0.000
2 U 0.000 0.551 0.449
3 U 0.449 0.000 0.551
4 U 0.551 0.449 0.000
5 P 0.054 0.500 0.946
6 P 0.500 0.500 0.500
7 P 0.500 0.946 0.054
8 P 0.946 0.054 0.500
9 N 0.013 0.598 0.764
10 N 0.093 0.907 0.500
11 N 0.236 0.402 0.987
12 N 0.354 0.646 0.500
13 N 0.402 0.987 0.236
14 N 0.500 0.093 0.907
15 N 0.500 0.354 0.646
16 N 0.598 0.764 0.013
17 N 0.646 0.500 0.354
18 N 0.764 0.013 0.598
19 N 0.907 0.500 0.093
20 N 0.987 0.236 0.402


Entry 2:
The following is a DFT calculation (PBE-GGA) of a relaxed structure of Pu2NpVN5.

Calculated density = 11.93 g cm⁻³
Total DFT energy (no corrections) = -11.37 eV per atom

Unit cell a=6.989 b=6.989 c=10.177 alpha=90.00 beta=90.00 gamma=151.72
Sites, in units of the cell vectors:
1 Pu 0.102 0.898 0.500
2 Pu 0.141 0.859 0.110
3 Pu 0.859 0.141 0.610
4 Pu 0.898 0.102 0.000
5 Np 0.209 0.791 0.822
6 Np 0.791 0.209 0.322
7 V 0.484 0.516 0.272
8 V 0.516 0.484 0.772
9 N 0.045 0.955 0.854
10 N 0.277 0.723 0.467
11 N 0.324 0.676 0.191
12 N 0.376 0.624 0.820
13 N 0.486 0.514 0.596
14 N 0.514 0.486 0.096
15 N 0.624 0.376 0.320
16 N 0.676 0.324 0.691
17 N 0.723 0.277 0.967
18 N 0.955 0.045 0.354


| no. | M_tot (μB per atom) |
| --- | --- |
| 1 | 0.151 |
| 2 | 1.447 |